# PBE-GGA Ba5SiCl5, optimized geometry
# formation energy from raw total energies	-1.79	eV/atom
data_Ba5SiCl5
_cell_length_a 14.7458
_cell_length_b 6.4863
_cell_length_c 9.2595
_cell_angle_alpha 90.00
_cell_angle_beta 108.41
_cell_angle_gamma 90.00
_symmetry_space_group_name_H-M 'C 1 2/m 1'
_symmetry_Int_Tables_number 12
loop_
_symmetry_equiv_pos_as_xyz
'x,y,z'
'-x,-y,-z'
'-x,y,-z'
'x,-y,z'
'x+1/2,y+1/2,z'
'-x+1/2,-y+1/2,-z'
'-x+1/2,y+1/2,-z'
'x+1/2,-y+1/2,z'
loop_
_atom_site_label
_atom_site_type_symbol
_atom_site_fract_x
_atom_site_fract_y
_atom_site_fract_z
Ba1 Ba 0.0000 0.0000 0.0000
Ba2 Ba 0.1567 0.5000 0.8324
Ba3 Ba 0.1581 0.5000 0.3239
Si1 Si 0.0000 0.5000 0.0000
Cl1 Cl 0.0000 0.5000 0.5000
Cl2 Cl 0.1753 0.0000 0.3348
Cl3 Cl 0.1757 0.0000 0.8412